PBE Er2Tm6Hg, relaxed; formation energy from the elements = -0.031 eV per atom; space group = No. 136; magnetization = 0.00 μB per atom; DFT total energy = -0.298 Ry per atom; ρ = 9.92 g/cm³
1.0
4.8506 0.0000 0.2582
0.0000 10.3297 0.0000
-0.5498 0.0000 10.3171
Er Tm Hg
4 12 2
direct
0.4998 0.8368 0.6630
0.9998 0.6632 0.1631
0.0002 0.3368 0.8369
0.5002 0.1632 0.3370
0.0000 0.0001 0.8332
0.4998 0.8360 0.3359
0.0000 0.9999 0.1668
0.0001 0.3331 0.5002
0.0002 0.3360 0.1642
0.5002 0.1640 0.6641
0.9999 0.6669 0.4998
0.5000 0.4999 0.3332
0.5001 0.1669 0.0003
0.4999 0.8331 0.9997
0.9998 0.6640 0.8358
0.5000 0.5001 0.6668
0.0000 0.0000 0.5000
0.5000 0.5000 0.0000

---

PBE TiH2I3, relaxed; space group = No. 194; magnetization = 0.07 μB per atom; DFT total energy = -0.275 Ry per atom; ρ = 3.73 g/cm³
1.0
8.2854 0.0001 0.0000
-4.1429 7.1753 0.0000
0.0000 0.0000 6.4431
I H Ti
6 4 2
direct
0.1588 0.8412 0.2500
0.1588 0.3176 0.2500
0.8412 0.1588 0.7500
0.3176 0.1588 0.7500
0.6824 0.8412 0.2500
0.8412 0.6824 0.7500
0.6667 0.3333 0.3083
0.3333 0.6667 0.8083
0.6667 0.3333 0.1917
0.3333 0.6667 0.6917
0.0000 0.0000 0.5000
0.0000 0.0000 0.0000

---

PBE SrMg6Cr, relaxed; formation energy from the elements = 0.214 eV per atom; space group = No. 38; magnetization = 0.55 μB per atom; DFT total energy = -0.176 Ry per atom; ρ = 2.32 g/cm³; ΔE to the lowest computed polymorph = 1.9 kJ/mol of formula units
1.0
3.2181 -6.1137 0.0000
3.2181 6.1137 0.0000
0.0000 0.0000 5.1855
Mg Cr Sr
6 1 1
direct
0.3139 0.1746 0.5000
0.6674 0.8164 0.0000
0.6443 0.3557 0.0000
0.1952 0.8048 0.0000
0.8254 0.6861 0.5000
0.1836 0.3326 0.0000
0.3571 0.6429 0.5000
0.8132 0.1868 0.5000

---

PBE Sc6CdIn2, relaxed; formation energy from the elements = 0.028 eV per atom; space group = No. 71; magnetization = 0.00 μB per atom; DFT total energy = -0.360 Ry per atom; ρ = 4.16 g/cm³
1.0
4.8669 0.0000 -0.1871
0.0000 6.8682 0.0000
-2.1524 -3.4341 7.3916
In Sc Cd
2 6 1
direct
0.3337 0.3335 0.6670
0.6663 0.6665 0.3330
0.5000 0.2441 0.0000
0.8349 0.5877 0.6696
0.1651 0.4123 0.3304
0.1651 0.9181 0.3304
0.5000 0.7559 0.0000
0.8349 0.0819 0.6696
0.0000 0.0000 0.0000

---

Which formula does entry 2 have? TiH2I3